1.
Density functional theory data (PBE) for an optimized crystal structure of La6YTm2Th.

CIF file:
```
data_La6YTm2Th
_space_group_name_H-M_alt 'C 1 2/c 1'
_space_group_IT_number 15
_space_group_name_Hall '-C 2yc'
_cell_length_a 9.4565
_cell_length_b 15.2164
_cell_length_c 9.8408
_cell_angle_alpha 90.00
_cell_angle_beta 98.51
_cell_angle_gamma 90.00
loop_
_atom_site_label
_atom_site_type_symbol
_atom_site_fract_x
_atom_site_fract_y
_atom_site_fract_z
_atom_site_occupancy
La1 La 0.0674 0.1703 0.4408 1
La2 La 0.0946 0.3941 0.6205 1
La3 La 0.2080 0.2166 0.8108 1
Y1 Y 0.0000 0.4077 0.2500 1
Tm1 Tm 0.2416 0.0432 0.0522 1
Th1 Th 0.0000 0.0334 0.7500 1
```

---

2.
Density functional theory data (PBE) for an optimized crystal structure of NbAs3Au.

CIF file:
```
data_NbAs3Au
_space_group_name_H-M_alt 'P m -3 m'
_space_group_IT_number 221
_space_group_name_Hall '-P 4 2 3'
_cell_length_a 4.9143
_cell_length_b 4.9143
_cell_length_c 4.9143
_cell_angle_alpha 90.00
_cell_angle_beta 90.00
_cell_angle_gamma 90.00
loop_
_atom_site_label
_atom_site_type_symbol
_atom_site_fract_x
_atom_site_fract_y
_atom_site_fract_z
_atom_site_occupancy
Nb1 Nb 0.0000 0.0000 0.0000 1
As1 As 0.0000 0.5000 0.5000 1
Au1 Au 0.5000 0.5000 0.5000 1
```

---

Energy of formation, record by record: 124; 1157 meV/atom
Calculated total energy, record by record: -5.115; -4.302 eV per atom